Version a
PRu | GGA-PBE | optimized geometry

## Properties
Symmetry: P2_13
Density of states at the Fermi level: 0.78 states/eV/cell

Unit cell a=4.7241 b=4.7241 c=4.7241 alpha=90.00 beta=90.00 gamma=90.00
Last column: nearest neighbours and their distance in Å.
Atoms (fractional coordinates):
1 P 0.4281 0.4281 0.4281  6 Ru 2.43-2.47
2 Ru 0.5678 0.4322 0.9322  6 P 2.43-2.47
3 P 0.5719 0.9281 0.0719  6 Ru 2.43-2.47
4 Ru 0.0678 0.0678 0.0678  6 P 2.43-2.47
5 P 0.0719 0.5719 0.9281  6 Ru 2.43-2.47
6 Ru 0.9322 0.5678 0.4322  6 P 2.43-2.47
7 Ru 0.4322 0.9322 0.5678  6 P 2.43-2.47
8 P 0.9281 0.0719 0.5719  6 Ru 2.43-2.47



Version b
PRu | GGA-PBE | optimized geometry

## Properties
Symmetry: P4/m
Density of states at the Fermi level: 14.43 states/eV/cell

Unit cell a=11.1571 b=11.1571 c=2.9223 alpha=90.00 beta=90.00 gamma=90.00
Last column: nearest neighbours and their distance in Å.
Atoms (fractional coordinates):
1 P 0.9037 0.3709 0.0000  4 Ru 2.28-2.33
2 Ru 0.2456 0.5797 0.5000  4 P 2.28-2.39
3 Ru 0.5797 0.7544 0.5000  4 P 2.28-2.39
4 P 0.0963 0.6291 0.0000  4 Ru 2.28-2.33
5 Ru 0.8952 0.5798 0.0000  4 P 2.30-2.33
6 Ru 0.5798 0.1048 0.0000  4 P 2.30-2.33
7 Ru 0.1048 0.4202 0.0000  4 P 2.30-2.33
8 P 0.6340 0.2550 0.5000  4 Ru 2.28-2.39
9 P 0.3709 0.0963 0.0000  4 Ru 2.28-2.33
10 Ru 0.4202 0.8952 0.0000  4 P 2.30-2.33
11 Ru 0.4203 0.2456 0.5000  4 P 2.28-2.39
12 P 0.3660 0.7450 0.5000  4 Ru 2.28-2.39
13 P 0.7450 0.6340 0.5000  4 Ru 2.28-2.39
14 P 0.6291 0.9037 0.0000  4 Ru 2.28-2.33
15 P 0.2550 0.3660 0.5000  4 Ru 2.28-2.39
16 Ru 0.7544 0.4203 0.5000  4 P 2.28-2.39



Stability, highest: version a



Version a
CoIr2W | GGA-PBE | optimized geometry

## Properties
Symmetry: C2/m
Density of states at the Fermi level: 4.10 states/eV/cell

Unit cell a=4.6803 b=4.6803 c=4.6787 alpha=80.46 beta=80.46 gamma=33.86
Last column: nearest neighbours and their distance in Å.
Atoms (fractional coordinates):
1 W 0.7500 0.7500 0.7500  4 Co 2.71, 6 Ir 2.71-2.72, 2 W 2.73
2 Co 0.2500 0.2500 0.2500  6 Ir 2.69, 4 W 2.71, 2 Co 2.73
3 Ir 0.9990 0.9990 0.0074  6 Ir 2.65-2.76, 3 Co 2.69, 3 W 2.71-2.72
4 Ir 0.5010 0.5010 0.4926  6 Ir 2.65-2.76, 3 Co 2.69, 3 W 2.71-2.72



Version b
CoIr2W | GGA-PBE | optimized geometry

## Properties
Symmetry: I4/mmm
Density of states at the Fermi level: 3.19 states/eV/cell

Unit cell a=4.6541 b=4.6541 c=4.6562 alpha=131.04 beta=131.04 gamma=71.74
Last column: nearest neighbours and their distance in Å.
Atoms (fractional coordinates):
1 Co 0.2500 0.7500 0.5000  8 Ir 2.70, 4 W 2.73
2 W 0.7500 0.2500 0.5000  8 Ir 2.70, 4 Co 2.73
3 Ir 0.4998 0.5001 0.0000  4 W 2.70, 4 Co 2.70, 4 Ir 2.73
4 Ir 0.0002 0.9999 0.0000  4 W 2.70, 4 Co 2.70, 4 Ir 2.73



Stability, highest: version b



Version a
LaRe | GGA-PBE | optimized geometry

## Properties
Symmetry: C2/m
Density of states at the Fermi level: 4.62 states/eV/cell

Unit cell a=3.6822 b=5.0347 c=6.3644 alpha=113.39 beta=106.81 gamma=90.00
Last column: nearest neighbours and their distance in Å.
Atoms (fractional coordinates):
1 Re 0.1939 0.7776 0.3878  2 Re 2.39
2 La 0.9811 0.0640 0.9622  6 Re 3.23-3.45, 2 La 3.44-3.45
3 La 0.7689 0.3527 0.5378  6 Re 3.23-3.45, 2 La 3.44-3.45
4 Re 0.5561 0.6390 0.1122  2 Re 2.39



Version b
LaRe | GGA-PBE | optimized geometry

## Properties
Symmetry: P2_1/m
Density of states at the Fermi level: 5.25 states/eV/cell

Unit cell a=3.1340 b=4.0841 c=8.4932 alpha=90.00 beta=72.88 gamma=90.00
Last column: nearest neighbours and their distance in Å.
Atoms (fractional coordinates):
1 La 0.2991 0.5000 0.3292  3 Re 2.94-3.10, 2 La 3.13
2 La 0.9509 0.0000 0.9208  3 Re 2.94-3.10, 2 La 3.13
3 Re 0.7540 0.5000 0.6767  2 Re 2.45
4 Re 0.4960 0.0000 0.5733  2 Re 2.45



Stability, highest: version a



Version a
ThZrCd | GGA-PBE | optimized geometry

## Properties
Symmetry: I4mm
Density of states at the Fermi level: 2.97 states/eV/cell

Unit cell a=3.2823 b=3.2823 c=7.5661 alpha=102.53 beta=102.53 gamma=90.00
Last column: nearest neighbours and their distance in Å.
Atoms (fractional coordinates):
1 Cd 0.3227 0.3227 0.6454  4 Zr 3.15, 4 Cd 3.28, 4 Th 3.48
2 Th 0.0025 0.0025 0.0050  4 Th 3.28, 4 Zr 3.40, 4 Cd 3.48
3 Zr 0.6748 0.6748 0.3496  4 Cd 3.15, 4 Zr 3.28, 4 Th 3.40



Version b
ThZrCd | GGA-PBE | optimized geometry

## Properties
Symmetry: Pmmn
Density of states at the Fermi level: 5.58 states/eV/cell

Unit cell a=3.2693 b=5.5950 c=8.8805 alpha=90.00 beta=90.00 gamma=90.00
Last column: nearest neighbours and their distance in Å.
Atoms (fractional coordinates):
1 Zr 0.5000 0.0000 0.7499  4 Cd 3.15-3.30, 4 Th 3.20-3.32, 2 Zr 3.27
2 Th 0.5000 0.5000 0.9241  4 Zr 3.20-3.32, 6 Th 3.27-3.51, 1 Cd 3.29
3 Th 0.0000 0.0000 0.0759  4 Zr 3.20-3.32, 6 Th 3.27-3.51, 1 Cd 3.29
4 Cd 0.5000 0.5000 0.5537  4 Zr 3.15-3.30, 6 Cd 3.27-3.38, 1 Th 3.29
5 Cd 0.0000 0.0000 0.4463  4 Zr 3.15-3.30, 6 Cd 3.27-3.38, 1 Th 3.29
6 Zr 0.0000 0.5000 0.2501  4 Cd 3.15-3.30, 4 Th 3.20-3.32, 2 Zr 3.27



Stability, highest: version a



Version a
PaV2W | GGA-PBE | optimized geometry

## Properties
Symmetry: R-3m
Density of states at the Fermi level: 7.35 states/eV/cell

Unit cell a=2.8296 b=2.8296 c=10.4886 alpha=82.25 beta=82.25 gamma=60.00
Last column: nearest neighbours and their distance in Å.
Atoms (fractional coordinates):
1 W 0.0000 0.0000 0.0000  2 V 2.50
2 V 0.0803 0.0803 0.7591  1 W 2.50
3 V 0.9197 0.9197 0.2409  1 W 2.50
4 Pa 0.5000 0.5000 0.5000  6 Pa 2.83, 6 V 3.14



Version b
PaV2W | GGA-PBE | optimized geometry

## Properties
Symmetry: Fm-3m
Density of states at the Fermi level: 4.08 states/eV/cell

Unit cell a=4.5441 b=4.5441 c=4.5441 alpha=60.00 beta=60.00 gamma=60.00
Last column: nearest neighbours and their distance in Å.
Atoms (fractional coordinates):
1 Pa 0.0000 0.0000 0.0000  8 V 2.78
2 W 0.5000 0.5000 0.5000  8 V 2.78
3 V 0.7500 0.7500 0.7500  4 W 2.78, 4 Pa 2.78
4 V 0.2500 0.2500 0.2500  4 W 2.78, 4 Pa 2.78



Stability, highest: version b



Version a
BaSr3Pd | GGA-PBE | optimized geometry

## Properties
Symmetry: Pnma
Density of states at the Fermi level: 18.11 states/eV/cell

Unit cell a=7.4740 b=12.4126 c=9.3785 alpha=90.00 beta=90.00 gamma=90.00
Last column: nearest neighbours and their distance in Å.
Atoms (fractional coordinates):
1 Ba 0.2950 0.2500 0.0746  2 Pd 3.53, 3 Sr 3.76-3.89
2 Sr 0.3472 0.9994 0.3202  2 Pd 3.09-3.21
3 Sr 0.1528 0.4994 0.8202  2 Pd 3.09-3.21
4 Sr 0.7554 0.2500 0.9137  2 Pd 3.73, 1 Ba 3.76, 4 Sr 3.87-4.05
5 Sr 0.2446 0.7500 0.0863  2 Pd 3.73, 1 Ba 3.76, 4 Sr 3.87-4.05
6 Pd 0.0000 0.5000 0.5000  4 Sr 3.09-3.21
7 Sr 0.6528 0.0006 0.6798  2 Pd 3.09-3.21
8 Sr 0.1528 0.0006 0.8202  2 Pd 3.09-3.21
9 Sr 0.2554 0.2500 0.5863  2 Pd 3.73, 1 Ba 3.76, 4 Sr 3.87-4.05
10 Ba 0.7050 0.7500 0.9254  2 Pd 3.53, 3 Sr 3.76-3.89
11 Sr 0.8472 0.9994 0.1798  2 Pd 3.09-3.21
12 Sr 0.7446 0.7500 0.4137  2 Pd 3.73, 1 Ba 3.76, 4 Sr 3.87-4.05
13 Sr 0.6528 0.4994 0.6798  2 Pd 3.09-3.21
14 Pd 0.5000 0.5000 0.0000  4 Sr 3.09-3.21
15 Sr 0.8472 0.5006 0.1798  2 Pd 3.09-3.21
16 Sr 0.3472 0.5006 0.3202  2 Pd 3.09-3.21
17 Ba 0.2050 0.7500 0.5746  2 Pd 3.53, 3 Sr 3.76-3.89
18 Ba 0.7950 0.2500 0.4254  2 Pd 3.53, 3 Sr 3.76-3.89
19 Pd 0.0000 0.0000 0.5000  4 Sr 3.09-3.21
20 Pd 0.5000 0.0000 0.0000  4 Sr 3.09-3.21



Version b
BaSr3Pd | GGA-PBE | optimized geometry

## Properties
Symmetry: I4mm
Density of states at the Fermi level: 5.45 states/eV/cell

Unit cell a=7.6382 b=8.6971 c=7.6374 alpha=90.00 beta=110.60 gamma=90.00
Last column: nearest neighbours and their distance in Å.
Atoms (fractional coordinates):
1 Ba 0.7075 0.5484 0.0336  1 Pd 3.11
2 Pd 0.4599 0.5485 0.2817  5 Sr 3.01-3.08, 1 Ba 3.11
3 Ba 0.2080 0.0484 0.5341  1 Pd 3.11
4 Sr 0.2136 0.7983 0.0276  2 Pd 3.07-3.08
5 Sr 0.2140 0.2983 0.0279  2 Pd 3.07-3.08
6 Sr 0.7139 0.2986 0.5279  2 Pd 3.07-3.08
7 Sr 0.2203 0.5484 0.5209  1 Pd 3.01
8 Sr 0.7209 0.0485 0.0215  1 Pd 3.01
9 Pd 0.9599 0.0485 0.7817  5 Sr 3.01-3.08, 1 Ba 3.11
10 Sr 0.7137 0.7986 0.5276  2 Pd 3.07-3.08



Stability, highest: version b



Version a
KTaAg2 | GGA-PBE | optimized geometry

## Properties
Symmetry: Cm
Density of states at the Fermi level: 2.30 states/eV/cell

Unit cell a=5.8991 b=5.8991 c=5.5117 alpha=78.91 beta=78.91 gamma=27.13
Last column: nearest neighbours and their distance in Å.
Atoms (fractional coordinates):
1 Ag 0.2730 0.2730 0.3057  2 Ag 2.77, 1 K 3.03, 2 Ta 3.08
2 K 0.5196 0.5196 0.4255  2 K 2.77, 3 Ag 3.03-3.08
3 Ta 0.7275 0.7275 0.8335  2 Ta 2.77, 3 Ag 3.06-3.08
4 Ag 0.9799 0.9799 0.9353  2 Ag 2.77, 1 Ta 3.06, 2 K 3.08



Version b
KTaAg2 | GGA-PBE | optimized geometry

## Properties
Symmetry: P2/m
Density of states at the Fermi level: 3.36 states/eV/cell

Unit cell a=4.0686 b=2.8744 c=8.5149 alpha=70.01 beta=90.00 gamma=90.00
Last column: nearest neighbours and their distance in Å.
Atoms (fractional coordinates):
1 Ag 0.0000 0.0638 0.9343  3 Ag 2.87-2.95, 4 Ta 2.89-2.90
2 K 0.5000 0.2500 0.2500  2 K 2.87
3 Ta 0.5000 0.7500 0.7500  2 Ta 2.87, 8 Ag 2.89-2.90
4 Ag 0.0000 0.4362 0.5657  3 Ag 2.87-2.95, 4 Ta 2.89-2.90



Stability, highest: version b



Version a
RbHfSc | GGA-PBE | optimized geometry

## Properties
Symmetry: P1
Density of states at the Fermi level: 6.22 states/eV/cell

Unit cell a=4.8910 b=4.8893 c=12.7465 alpha=90.09 beta=79.10 gamma=120.00
Last column: nearest neighbours and their distance in Å.
Atoms (fractional coordinates):
1 Hf 0.1956 0.3364 0.2090  3 Sc 2.82, 3 Hf 3.13
2 Sc 0.8636 0.6704 0.2068  6 Hf 2.82-3.11
3 Rb 0.9687 0.2244 0.5560  3 Sc 4.00, 1 Hf 4.32
4 Rb 0.4104 0.4422 0.8797  4 Hf 3.94-4.10
5 Sc 0.4506 0.9644 0.3287  1 Hf 2.83
6 Hf 0.5994 0.0378 0.1011  4 Sc 2.83-3.11, 3 Hf 3.13



Version b
RbHfSc | GGA-PBE | optimized geometry

## Properties
Symmetry: Pnma
Density of states at the Fermi level: 22.06 states/eV/cell

Unit cell a=12.2922 b=3.2600 c=10.5195 alpha=90.00 beta=90.00 gamma=90.00
Last column: nearest neighbours and their distance in Å.
Atoms (fractional coordinates):
1 Rb 0.1466 0.7500 0.5665  2 Rb 3.26
2 Hf 0.5755 0.7500 0.5780  4 Hf 2.97-3.26, 3 Sc 3.02
3 Sc 0.4008 0.2500 0.7073  3 Hf 3.02, 2 Sc 3.26
4 Sc 0.0992 0.7500 0.2073  3 Hf 3.02, 2 Sc 3.26
5 Hf 0.4245 0.2500 0.4220  4 Hf 2.97-3.26, 3 Sc 3.02
6 Hf 0.9245 0.2500 0.0780  4 Hf 2.97-3.26, 3 Sc 3.02
7 Rb 0.3534 0.2500 0.0665  2 Rb 3.26
8 Sc 0.9008 0.2500 0.7927  3 Hf 3.02, 2 Sc 3.26
9 Rb 0.8534 0.2500 0.4335  2 Rb 3.26
10 Sc 0.5992 0.7500 0.2927  3 Hf 3.02, 2 Sc 3.26
11 Rb 0.6466 0.7500 0.9335  2 Rb 3.26
12 Hf 0.0755 0.7500 0.9220  4 Hf 2.97-3.26, 3 Sc 3.02



Stability, highest: version a



Version a
Na5B7C3 | GGA-PBE | optimized geometry

## Properties
Symmetry: Cm
Density of states at the Fermi level: 7.30 states/eV/cell

Unit cell a=9.0651 b=9.0651 c=13.3811 alpha=112.95 beta=112.95 gamma=17.96
Last column: nearest neighbours and their distance in Å.
Atoms (fractional coordinates):
1 B 0.9665 0.9665 0.6851  3 C 1.60-1.61
2 C 0.7714 0.7714 0.7929  3 B 1.64-1.68
3 C 0.0291 0.0291 0.8092  3 B 1.60
4 B 0.7724 0.7724 0.2942  3 B 1.63-1.78
5 B 0.6259 0.6259 0.5033  1 C 1.63, 2 B 1.76
6 B 0.2303 0.2303 0.2095  3 B 1.66-1.78
7 Na 0.3987 0.3987 0.8017  6 B 2.63-2.72, 6 C 2.65-2.73, 6 Na 2.83-2.93
8 Na 0.1984 0.1984 0.4002  10 B 2.65-2.94, 2 C 2.72, 6 Na 2.83-2.95
9 C 0.3696 0.3696 0.9869  3 B 1.63-1.67
10 Na 0.4010 0.4010 0.2990  3 C 2.66-2.70, 9 B 2.67-2.95, 6 Na 2.83-2.93
11 B 0.8359 0.8359 0.4216  3 B 1.63-1.77
12 B 0.3767 0.3767 0.5048  1 C 1.53
13 B 0.1665 0.1665 0.5853  3 B 1.76-1.85
14 C 0.4359 0.4359 0.6246  3 B 1.53-1.61
15 Na 0.8008 0.8008 0.0987  9 B 2.67-2.87, 3 C 2.69-2.72, 6 Na 2.83-2.93
16 Na 0.5988 0.5988 0.1981  9 B 2.69-2.86, 3 C 2.69-2.70, 6 Na 2.83-2.95
17 Na 0.2006 0.2006 0.8989  8 B 2.62-2.79, 4 C 2.65-2.82, 6 Na 2.83-2.93
18 Na 0.7967 0.7967 0.6031  9 B 2.66-2.81, 3 C 2.75-2.78, 6 Na 2.83-2.95
19 B 0.2390 0.2390 0.7290  2 C 1.64
20 B 0.1656 0.1656 0.0797  3 B 1.66-1.73
21 B 0.5588 0.5588 0.8676  2 C 1.60, 1 B 1.72
22 Na 0.6023 0.6023 0.6988  8 B 2.65-2.81, 4 C 2.73-2.78, 6 Na 2.83-2.94
23 B 0.0307 0.0307 0.3108  3 C 1.64-1.66
24 C 0.9664 0.9664 0.1813  3 B 1.64-1.66
25 Na 0.9994 0.9994 0.9992  8 B 2.67-2.78, 4 C 2.67-2.80, 6 Na 2.83-2.92
26 B 0.8374 0.8374 0.9235  3 C 1.63-1.68
27 C 0.5628 0.5628 0.3758  3 B 1.63-1.64
28 B 0.4345 0.4345 0.1174  3 C 1.64-1.67
29 B 0.6265 0.6265 0.0017  3 B 1.72-1.73
30 Na 0.0015 0.0015 0.4985  8 B 2.62-2.80, 4 C 2.71-2.79, 4 Na 2.83-2.93



Version b
Na5B7C3 | GGA-PBE | optimized geometry

## Properties
Symmetry: P1
Density of states at the Fermi level: 3.55 states/eV/cell

Unit cell a=7.5839 b=7.5850 c=10.2952 alpha=121.47 beta=121.48 gamma=39.32
Last column: nearest neighbours and their distance in Å.
Atoms (fractional coordinates):
1 B 0.2465 0.5611 0.7503  3 B 1.69-1.79
2 Na 0.2033 0.2031 0.0080  8 B 2.62-2.84, 4 C 2.67-2.75, 6 Na 2.85-2.94
3 B 0.2409 0.5705 0.2499  2 C 1.62-1.69, 1 B 1.73
4 C 0.0316 0.3631 0.7491  3 B 1.54-1.62
5 Na 0.4000 0.3954 0.4950  9 B 2.64-2.88, 3 C 2.68-2.76, 6 Na 2.85-2.94
6 B 0.4320 0.7687 0.2501  3 C 1.61-1.74
7 Na 0.8043 0.8003 0.0046  9 B 2.68-2.88, 3 C 2.70-2.77, 6 Na 2.86-2.94
8 Na 0.3998 0.3992 0.0003  8 B 2.66-2.77, 4 C 2.70-2.73, 6 Na 2.85-2.93
9 B 0.7786 0.4213 0.7499  2 C 1.61, 1 B 1.68
10 B 0.8315 0.1682 0.2500  3 C 1.61-1.74
11 C 0.1746 0.8312 0.2501  3 B 1.61-1.74
12 C 0.7689 0.4257 0.2501  3 B 1.61-1.74
13 Na 0.6034 0.5993 0.0047  9 B 2.68-2.88, 3 C 2.70-2.76, 6 Na 2.86-2.94
14 C 0.5682 0.2347 0.2503  3 B 1.63-1.69
15 B 0.5777 0.2317 0.7502  1 C 1.62, 2 B 1.69-1.77
16 Na 0.2006 0.1997 0.4996  8 B 2.66-2.77, 4 C 2.70-2.73, 6 Na 2.85-2.93
17 B 0.6390 0.9537 0.7501  3 B 1.69-1.79
18 B 0.6146 0.9852 0.2501  2 C 1.63, 1 B 1.80
19 B 0.9679 0.6318 0.2498  3 B 1.73-1.80
20 B 0.1392 0.8701 0.7501  1 C 1.53
21 B 0.9685 0.6225 0.7498  1 C 1.62, 2 B 1.69-1.77
22 C 0.8364 0.1681 0.7499  3 B 1.53-1.62
23 Na 0.7996 0.7985 0.4974  9 B 2.70-2.78, 3 C 2.72-2.75, 6 Na 2.86-2.93
24 B 0.4490 0.7509 0.7502  3 B 1.68-1.75
25 Na 0.0012 0.0004 0.0005  8 B 2.66-2.77, 4 C 2.69-2.73, 6 Na 2.85-2.93
26 Na 0.9965 0.9976 0.4922  8 B 2.66-2.84, 4 C 2.68-2.75, 6 Na 2.86-2.94
27 C 0.3655 0.0319 0.2500  3 B 1.63-1.69
28 B 0.0295 0.3591 0.2500  2 C 1.62-1.69, 1 B 1.73
29 Na 0.6010 0.5969 0.4978  8 B 2.65-2.86, 4 C 2.68-2.74, 6 Na 2.86-2.93
30 B 0.3303 0.0601 0.7496  1 C 1.54



Stability, highest: version a



Version a
Pu2SeS | GGA-PBE | optimized geometry

## Properties
Symmetry: Fm-3m
Density of states at the Fermi level: 8.81 states/eV/cell

Unit cell a=4.9719 b=4.9719 c=4.9719 alpha=60.00 beta=60.00 gamma=60.00
Last column: nearest neighbours and their distance in Å.
Atoms (fractional coordinates):
1 Pu 0.2500 0.2500 0.2500  4 S 3.04, 4 Se 3.04
2 Se 0.0000 0.0000 0.0000  8 Pu 3.04
3 S 0.5000 0.5000 0.5000  8 Pu 3.04
4 Pu 0.7500 0.7500 0.7500  4 S 3.04, 4 Se 3.04



Version b
Pu2SeS | GGA-PBE | optimized geometry

## Properties
Symmetry: R3m
Density of states at the Fermi level: 15.16 states/eV/cell

Unit cell a=3.9714 b=3.9714 c=7.5003 alpha=74.65 beta=74.65 gamma=60.00
Last column: nearest neighbours and their distance in Å.
Atoms (fractional coordinates):
1 Se 0.6685 0.6685 0.9945  6 Pu 2.91-2.95
2 Pu 0.0854 0.0854 0.7437  3 S 2.85, 3 Se 2.91
3 S 0.4979 0.4979 0.5063  6 Pu 2.85-2.91
4 Pu 0.2482 0.2482 0.2555  3 S 2.91, 3 Se 2.95



Stability, highest: version b